1.
A PBEsol-optimized structure of BaSeO4. Source: the Alexandria database, functional meta-GGA SCAN.

Cell: 5.6612 7.3652 9.0615 Å, 90.00 90.00 90.00°
Fractional positions:
Ba1 0.7500 0.8429 0.1823
Ba2 0.2500 0.3429 0.3177
Ba3 0.2500 0.1571 0.8177
Ba4 0.7500 0.6571 0.6823
O1 0.7500 0.4070 0.8972
O2 0.2500 0.9070 0.6028
O3 0.2500 0.5930 0.1028
O4 0.7500 0.0930 0.3972
O5 0.7500 0.4648 0.2008
O6 0.2500 0.9648 0.2992
O7 0.2500 0.5352 0.7992
O8 0.7500 0.0352 0.7008
O9 0.9883 0.1823 0.0813
O10 0.0117 0.6823 0.4187
O11 0.4883 0.8177 0.9187
O12 0.5117 0.3177 0.5813
O13 0.0117 0.8177 0.9187
O14 0.9883 0.3177 0.5813
O15 0.5117 0.1823 0.0813
O16 0.4883 0.6823 0.4187
Se1 0.7500 0.3148 0.0636
Se2 0.2500 0.8148 0.4364
Se3 0.2500 0.6852 0.9364
Se4 0.7500 0.1852 0.5636

The magnetic moment is 0.000 μB per atom. The density is 4.93 Mg/m³. Its formation energy from raw total energies is -1095 kJ/mol of formula units.

---

2.
A PBEsol-optimized structure of Ba2Sm3Si3SeO12. Source: the Alexandria database, functional meta-GGA SCAN.

Cell: 7.1067 9.9542 9.9542 Å, 120.00 90.00 90.00°
Each line ends with the local moment (μB).
Fractional positions:
Ba1 0.5021 0.6667 0.3333  0.00
Ba2 0.4979 0.3333 0.6667  0.00
Ba3 0.0021 0.3333 0.6667  0.00
Ba4 0.9979 0.6667 0.3333  0.00
Sm1 0.7500 0.0032 0.2632  0.00
Sm2 0.2500 0.9968 0.7368  0.00
Sm3 0.7500 0.7368 0.7400  0.00
Sm4 0.2500 0.2632 0.2600  0.00
Sm5 0.7500 0.2600 0.9968  0.00
Sm6 0.2500 0.7400 0.0032  0.00
Si1 0.7500 0.6395 0.0206  0.00
Si2 0.2500 0.3605 0.9794  0.00
Si3 0.7500 0.9794 0.6189  0.00
Si4 0.2500 0.0206 0.3811  0.00
Si5 0.7500 0.3811 0.3605  0.00
Si6 0.2500 0.6189 0.6395  0.00
Se1 0.5000 0.0000 0.0000  0.42
Se2 0.0000 0.0000 0.0000  0.42
O1 0.5678 0.7554 0.0994  0.04
O2 0.4322 0.2446 0.9006  0.04
O3 0.5678 0.9006 0.6560  0.04
O4 0.0678 0.2446 0.9006  0.04
O5 0.4322 0.0994 0.3440  0.04
O6 0.9322 0.7554 0.0994  0.04
O7 0.5678 0.3440 0.2446  0.04
O8 0.0678 0.0994 0.3440  0.04
O9 0.4322 0.6560 0.7554  0.04
O10 0.9322 0.9006 0.6560  0.04
O11 0.0678 0.6560 0.7554  0.04
O12 0.9322 0.3440 0.2446  0.04
O13 0.7500 0.5136 0.0825  0.01
O14 0.2500 0.4864 0.9175  0.01
O15 0.7500 0.9175 0.4311  0.01
O16 0.2500 0.0825 0.5689  0.01
O17 0.7500 0.5689 0.4864  0.01
O18 0.2500 0.4311 0.5136  0.01
O19 0.7500 0.2784 0.4459  0.00
O20 0.2500 0.7216 0.5541  0.00
O21 0.7500 0.5541 0.8325  0.00
O22 0.2500 0.4459 0.1675  0.00
O23 0.7500 0.1675 0.7216  0.00
O24 0.2500 0.8325 0.2784  0.00

The magnetic moment is 0.047 μB per atom. The density is 5.89 Mg/m³. Its formation energy from raw total energies is -6606 kJ/mol of formula units.

---

3.
A PBEsol-optimized structure of Ba2SrSeO6. Source: the Alexandria database, functional meta-GGA SCAN.

Cell: 5.9139 5.9139 5.9139 Å, 60.00 60.00 60.00°
Fractional positions:
O1 0.7823 0.2177 0.7823
O2 0.7823 0.2177 0.2177
O3 0.2177 0.2177 0.7823
O4 0.7823 0.7823 0.2177
O5 0.2177 0.7823 0.7823
O6 0.2177 0.7823 0.2177
Sr1 0.5000 0.5000 0.5000
Ba1 0.2500 0.2500 0.2500
Ba2 0.7500 0.7500 0.7500
Se1 0.0000 0.0000 0.0000

The magnetic moment is 0.000 μB per atom. The density is 6.10 Mg/m³. Its formation energy from raw total energies is -2257 kJ/mol of formula units.